1.
The following is a PBE calculation of crystalline Cu2SiHg at its relaxed geometry, from Alexandria via LeMat-Bulk.

**SG**: No. 119
**Uncorrected formation energy**: 29.9 kJ per mole of atoms
**Energy above the lowest structure with this stoichiometry**: 142.3 meV/atom
**Uncorrected energy**: -0.1165 hartree per atom

a b c (Å): 3.862 3.862 8.196
angles (deg): 90.00 90.00 90.00
Fractional coordinates of all 8 atoms:
Cu 0.000 0.000 0.000
Cu 0.000 0.500 0.250
Cu 0.500 0.000 0.750
Cu 0.500 0.500 0.500
Si 0.000 0.000 0.500
Si 0.500 0.500 0.000
Hg 0.000 0.500 0.750
Hg 0.500 0.000 0.250

=====

2.
The following is a PBE calculation of crystalline Cu2SiHg at its relaxed geometry, from Alexandria via LeMat-Bulk.

**SG**: No. 139
**Uncorrected formation energy**: 29.1 kJ per mole of atoms
**Energy above the lowest structure with this stoichiometry**: 134.2 meV/atom
**Uncorrected energy**: -0.1168 hartree per atom

a b c (Å): 4.017 4.017 7.551
angles (deg): 90.00 90.00 90.00
Fractional coordinates of all 8 atoms:
Cu 0.000 0.500 0.250
Cu 0.000 0.500 0.750
Cu 0.500 0.000 0.250
Cu 0.500 0.000 0.750
Si 0.000 0.000 0.000
Si 0.500 0.500 0.500
Hg 0.000 0.000 0.500
Hg 0.500 0.500 0.000

=====

3.
The following is a PBE calculation of crystalline Cu2SiHg at its relaxed geometry, from Alexandria via LeMat-Bulk.

**SG**: No. 44
**Uncorrected formation energy**: 17.3 kJ per mole of atoms
**Energy above the lowest structure with this stoichiometry**: 11.7 meV/atom
**Uncorrected energy**: -0.1213 hartree per atom

a b c (Å): 2.690 3.917 12.868
angles (deg): 90.00 90.00 90.00
Fractional coordinates of all 8 atoms:
Cu 0.000 0.000 0.000
Cu 0.000 0.500 0.193
Cu 0.500 0.000 0.693
Cu 0.500 0.500 0.500
Si 0.000 0.000 0.538
Si 0.500 0.500 0.038
Hg 0.000 0.500 0.810
Hg 0.500 0.000 0.310

=====

4.
The following is a PBE calculation of crystalline Cu2SiHg at its relaxed geometry, from Alexandria via LeMat-Bulk.

**SG**: No. 166
**Uncorrected formation energy**: 16.2 kJ per mole of atoms
**Energy above the lowest structure with this stoichiometry**: 0.0 meV/atom
**Uncorrected energy**: -0.1217 hartree per atom

a b c (Å): 2.906 2.906 25.155
angles (deg): 90.00 90.00 120.00
Fractional coordinates of all 12 atoms:
Cu 0.000 0.000 0.239
Cu 0.000 0.000 0.761
Cu 0.333 0.667 0.428
Cu 0.333 0.667 0.905
Cu 0.667 0.333 0.095
Cu 0.667 0.333 0.572
Si 0.000 0.000 0.500
Si 0.333 0.667 0.167
Si 0.667 0.333 0.833
Hg 0.000 0.000 0.000
Hg 0.333 0.667 0.667
Hg 0.667 0.333 0.333

=====

5.
The following is a PBE calculation of crystalline Cu2SiHg at its relaxed geometry, from Alexandria via LeMat-Bulk.

**SG**: No. 160
**Uncorrected formation energy**: 27.2 kJ per mole of atoms
**Energy above the lowest structure with this stoichiometry**: 114.6 meV/atom
**Uncorrected energy**: -0.1175 hartree per atom

a b c (Å): 2.878 2.878 26.683
angles (deg): 90.00 90.00 120.00
Fractional coordinates of all 12 atoms:
Cu 0.000 0.000 0.000
Cu 0.000 0.000 0.262
Cu 0.333 0.667 0.667
Cu 0.333 0.667 0.929
Cu 0.667 0.333 0.333
Cu 0.667 0.333 0.595
Si 0.000 0.000 0.526
Si 0.333 0.667 0.193
Si 0.667 0.333 0.859
Hg 0.000 0.000 0.754
Hg 0.333 0.667 0.421
Hg 0.667 0.333 0.087

=====

6.
The following is a PBE calculation of crystalline Cu2Si2Hg at its relaxed geometry, from Alexandria via LeMat-Bulk.

**SG**: No. 139
**Uncorrected formation energy**: 22.4 kJ per mole of atoms
**Energy above the lowest structure with this stoichiometry**: 37.4 meV/atom
**Uncorrected energy**: -0.1336 hartree per atom

a b c (Å): 4.050 4.050 9.987
angles (deg): 90.00 90.00 90.00
Fractional coordinates of all 10 atoms:
Cu 0.000 0.500 0.250
Cu 0.000 0.500 0.750
Cu 0.500 0.000 0.250
Cu 0.500 0.000 0.750
Si 0.000 0.000 0.118
Si 0.000 0.000 0.882
Si 0.500 0.500 0.382
Si 0.500 0.500 0.618
Hg 0.000 0.000 0.500
Hg 0.500 0.500 0.000

=====

7.
The following is a PBE calculation of crystalline CuSi4Hg at its relaxed geometry, from Alexandria via LeMat-Bulk.

**SG**: No. 216
**Uncorrected formation energy**: 58.1 kJ per mole of atoms
**Uncorrected energy**: -0.1377 hartree per atom

a b c (Å): 5.212 5.212 5.212
angles (deg): 60.00 60.00 60.00
Fractional coordinates of all 6 atoms:
Cu 0.000 0.000 0.000
Si 0.122 0.626 0.626
Si 0.626 0.122 0.626
Si 0.626 0.626 0.122
Si 0.626 0.626 0.626
Hg 0.250 0.250 0.250

=====

8.
The following is a PBE calculation of crystalline Cu2SiHg at its relaxed geometry, from Alexandria via LeMat-Bulk.

**SG**: No. 225
**Uncorrected formation energy**: 32.5 kJ per mole of atoms
**Energy above the lowest structure with this stoichiometry**: 169.0 meV/atom
**Uncorrected energy**: -0.1155 hartree per atom

a b c (Å): 6.277 6.277 6.277
angles (deg): 90.00 90.00 90.00
Fractional coordinates of all 16 atoms:
Cu 0.250 0.250 0.250
Cu 0.250 0.250 0.750
Cu 0.250 0.750 0.250
Cu 0.250 0.750 0.750
Cu 0.750 0.250 0.250
Cu 0.750 0.250 0.750
Cu 0.750 0.750 0.250
Cu 0.750 0.750 0.750
Si 0.000 0.000 0.000
Si 0.000 0.500 0.500
Si 0.500 0.000 0.500
Si 0.500 0.500 0.000
Hg 0.000 0.000 0.500
Hg 0.000 0.500 0.000
Hg 0.500 0.000 0.000
Hg 0.500 0.500 0.500

=====

| no. | total moment (μB per cell) |
| --- | --- |
| 1 | 0.0 |
| 2 | 0.0 |
| 3 | 0.0 |
| 4 | 0.0 |
| 5 | 0.0 |
| 6 | 0.0 |
| 7 | 0.0 |
| 8 | 0.0 |